# 1
Below is a geometry-optimized MgZnTc3 structure, with properties calculated at the PBE level.

Theoretical density in kg/m3: 6757
Calculated formation energy in kJ/mol of atoms: 146.8
Energy relative to the lowest polymorph listed for this composition in meV per atom: 0

abc: 4.552 4.552 4.552
angles: 90.00 90.00 90.00
Fractional coordinates of all 5 atoms:
Mg (0.500, 0.500, 0.500)
Zn (0.000, 0.000, 0.000)
Tc (0.000, 0.500, 0.000)
Tc (0.000, 0.000, 0.500)
Tc (0.500, 0.000, 0.000)

=====

# 2
Below is a geometry-optimized SiHgOs2 structure, with properties calculated at the PBE level.

Theoretical density in kg/m3: 13364
Energy relative to the lowest polymorph listed for this composition in meV per atom: 622
E_form (uncorrected) in eV per atom: 0.881

abc: 4.157 4.157 9.239
angles: 77.00 77.00 90.00
Fractional coordinates of all 8 atoms:
Si (0.500, 0.500, 0.000)
Si (0.250, 0.750, 0.500)
Os (0.521, 0.125, 0.250)
Os (0.229, 0.625, 0.250)
Os (0.375, 0.479, 0.750)
Os (0.875, 0.771, 0.750)
Hg (0.000, 0.000, 0.000)
Hg (0.750, 0.250, 0.500)

=====

# 3
Below is a geometry-optimized Pr2Zn2SnRh5 structure, with properties calculated at the PBE level.

Theoretical density in kg/m3: 9643
Calculated formation energy in kJ/mol of atoms: -56.7

abc: 3.697 9.871 9.871
angles: 90.00 90.00 90.00
Fractional coordinates of all 20 atoms:
Pr (0.000, 0.675, 0.175)
Pr (0.000, 0.325, 0.825)
Pr (0.000, 0.175, 0.325)
Pr (0.000, 0.825, 0.675)
Zn (0.000, 0.122, 0.622)
Zn (0.000, 0.878, 0.378)
Zn (0.000, 0.622, 0.878)
Zn (0.000, 0.378, 0.122)
Sn (0.000, 0.000, 0.000)
Sn (0.000, 0.500, 0.500)
Rh (0.500, 0.207, 0.066)
Rh (0.500, 0.793, 0.934)
Rh (0.500, 0.066, 0.793)
Rh (0.500, 0.707, 0.434)
Rh (0.500, 0.934, 0.207)
Rh (0.500, 0.293, 0.566)
Rh (0.500, 0.566, 0.707)
Rh (0.500, 0.434, 0.293)
Rh (0.500, 0.500, 0.000)
Rh (0.500, 0.000, 0.500)

=====

# 4
Below is a geometry-optimized K2Rb6PbO structure, with properties calculated at the PBE level.

Theoretical density in kg/m3: 2292
E_form (uncorrected) in eV per atom: -0.276

abc: 9.190 9.777 13.785
angles: 90.00 72.31 90.00
Fractional coordinates of all 20 atoms:
K (0.150, 0.995, 0.220)
K (0.650, 0.505, 0.720)
K (0.850, 0.005, 0.780)
K (0.350, 0.495, 0.280)
Rb (0.242, 0.692, 0.982)
Rb (0.742, 0.808, 0.482)
Rb (0.758, 0.308, 0.018)
Rb (0.258, 0.192, 0.518)
Rb (0.288, 0.784, 0.519)
Rb (0.788, 0.716, 0.019)
Rb (0.712, 0.216, 0.481)
Rb (0.212, 0.284, 0.981)
Rb (0.926, 0.498, 0.217)
Rb (0.426, 0.002, 0.717)
Rb (0.074, 0.502, 0.783)
Rb (0.574, 0.998, 0.283)
Pb (0.500, 0.000, 0.000)
Pb (0.000, 0.500, 0.500)
O (0.500, 0.000, 0.500)
O (0.000, 0.500, 0.000)

=====

# 5
Below is a geometry-optimized MnSiPt4 structure, with properties calculated at the PBE level.

Theoretical density in kg/m3: 13901
E_form (uncorrected) in eV per atom: 0.103

abc: 5.264 5.264 5.264
angles: 60.00 60.00 60.00
Each line ends with the local moment (μB).
Fractional coordinates of all 6 atoms:
Mn (0.000, 0.000, 0.000)  4.18
Si (0.750, 0.750, 0.750)  0.00
Pt (0.875, 0.375, 0.375)  0.05
Pt (0.375, 0.375, 0.875)  0.05
Pt (0.375, 0.875, 0.375)  0.05
Pt (0.375, 0.375, 0.375)  0.05

=====

# 6
Below is a geometry-optimized Al2SiTe structure, with properties calculated at the PBE level.

Theoretical density in kg/m3: 3234
Energy relative to the lowest polymorph listed for this composition in meV per atom: 0
E_form (uncorrected) in eV per atom: -0.142

abc: 5.993 5.993 7.340
angles: 65.90 65.90 90.00
Fractional coordinates of all 8 atoms:
Si (0.500, 0.500, 0.000)
Si (0.250, 0.750, 0.500)
Te (0.000, 0.000, 0.000)
Te (0.750, 0.250, 0.500)
Al (0.579, 0.125, 0.250)
Al (0.171, 0.625, 0.250)
Al (0.375, 0.421, 0.750)
Al (0.875, 0.829, 0.750)

=====

# 7
Below is a geometry-optimized RbNbP2Se8 structure, with properties calculated at the PBE level.

Theoretical density in kg/m3: 4034
E_form (uncorrected) in eV per atom: -0.351

abc: 6.400 6.400 10.118
angles: 90.00 90.00 120.00
Fractional coordinates of all 12 atoms:
Rb (0.000, 0.000, 0.000)
Nb (0.000, 0.000, 0.500)
P (0.667, 0.333, 0.291)
P (0.333, 0.667, 0.709)
Se (0.333, 0.667, 0.922)
Se (0.329, 0.343, 0.358)
Se (0.657, 0.986, 0.358)
Se (0.667, 0.333, 0.078)
Se (0.343, 0.014, 0.642)
Se (0.671, 0.657, 0.642)
Se (0.986, 0.329, 0.642)
Se (0.014, 0.671, 0.358)

=====

# 8
Below is a geometry-optimized AcLaSi2 structure, with properties calculated at the PBE level.

Theoretical density in kg/m3: 6448
Energy relative to the lowest polymorph listed for this composition in meV per atom: 303
E_form (uncorrected) in eV per atom: -0.347

abc: 5.357 5.357 5.357
angles: 60.00 60.00 60.00
Fractional coordinates of all 4 atoms:
Ac (0.000, 0.000, 0.000)
Si (0.250, 0.250, 0.250)
Si (0.750, 0.750, 0.750)
La (0.500, 0.500, 0.500)